# 1
AcBeZnPd3 | PBE | optimized geometry

The structure belongs to space group Cmcm (No. 63); the cell edges are 5.9150, 12.3893 and 6.2309 Å and the angles 90.00°, 90.00° and 90.00°. The distinct sites, in fractional coordinates, are Ac at (0.0000, 0.2183, 0.2500), Be at (0.0000, 0.4824, 0.2500), Zn at (0.0000, 0.1265, 0.7500), Pd at (0.0000, 0.3313, 0.7500) and Pd at (0.2406, 0.0000, 0.0000).

As for the crystal system: orthorhombic. The value obtained for the density of states at the Fermi level is 0.484 states/eV per atom. Its volume is 456.6 Å³/cell. As for the total magnetization: 0.0 μB per formula unit. The value obtained for the electronic total energy is -4.674 eV/atom.

# 2
Ac3BeZn2Pd6 | PBE | optimized geometry

The structure belongs to space group P-3m1 (No. 164); the cell edges are 5.9927, 5.9927 and 8.4250 Å and the angles 90.00°, 90.00° and 120.00°. The distinct sites, in fractional coordinates, are Ac at (0.0000, 0.0000, 0.0000), Ac at (0.3333, 0.6667, 0.6801), Be at (0.0000, 0.0000, 0.5000), Zn at (0.3333, 0.6667, 0.0868) and Pd at (0.1710, 0.3420, 0.3331).

As for the crystal system: trigonal. The value obtained for the density of states at the Fermi level is 0.340 states/eV per atom. Its volume is 262.0 Å³/cell. As for the total magnetization: 0.0 μB per formula unit. The value obtained for the electronic total energy is -4.787 eV/atom.

# 3
AcBeZnPd6 | PBE | optimized geometry

The structure belongs to space group Imma (No. 74); the cell edges are 6.0855, 9.2836 and 11.5014 Å and the angles 90.00°, 90.00° and 90.00°. The distinct sites, in fractional coordinates, are Ac at (0.0000, 0.2500, 0.1745), Be at (0.0000, 0.0000, 0.5000), Zn at (0.2500, 0.2500, 0.7500), Pd at (0.0000, 0.2500, 0.4546), Pd at (0.0000, 0.2500, 0.9282) and Pd at (0.2461, 0.0146, 0.8721).

As for the crystal system: orthorhombic. The value obtained for the density of states at the Fermi level is 0.421 states/eV per atom. Its volume is 649.8 Å³/cell. As for the total magnetization: 0.0 μB per formula unit. The value obtained for the electronic total energy is -4.779 eV/atom.

# 4
Ac3BeZn2Pd9 | PBE | optimized geometry

The structure belongs to space group P-3m1 (No. 164); the cell edges are 7.0257, 7.0257 and 7.2155 Å and the angles 90.00°, 90.00° and 120.00°. The distinct sites, in fractional coordinates, are Ac at (0.0000, 0.0000, 0.0000), Ac at (0.3333, 0.6667, 0.6675), Be at (0.0000, 0.0000, 0.5000), Zn at (0.3333, 0.6667, 0.1935), Pd at (0.0000, 0.5000, 0.0000) and Pd at (0.1503, 0.3005, 0.3363).

As for the crystal system: trigonal. The value obtained for the density of states at the Fermi level is 0.335 states/eV per atom. Its volume is 308.4 Å³/cell. As for the total magnetization: 0.0 μB per formula unit. The value obtained for the electronic total energy is -4.942 eV/atom.

# 5
Ac2PmBe | PBE | optimized geometry

The structure belongs to space group R-3m (No. 166, hexagonal axes); the cell edges are 3.7823, 3.7823 and 36.6174 Å and the angles 90.00°, 90.00° and 120.00°. The distinct sites, in fractional coordinates, are Ac at (0.0000, 0.0000, 0.0841), Pm at (0.0000, 0.0000, 0.5000) and Be at (0.0000, 0.0000, 0.0000).

As for the crystal system: trigonal. The value obtained for the density of states at the Fermi level is 1.306 states/eV per atom. Its volume is 453.7 Å³/cell. As for the total magnetization: 0.0 μB per formula unit. The value obtained for the electronic total energy is -3.411 eV/atom.

# 6
AcPm2Be | PBE | optimized geometry

The structure belongs to space group P4/mmm (No. 123); the cell edges are 3.6312, 3.6312 and 9.1166 Å and the angles 90.00°, 90.00° and 90.00°. The distinct sites, in fractional coordinates, are Ac at (0.0000, 0.0000, 0.0000), Pm at (0.5000, 0.5000, 0.3211) and Be at (0.0000, 0.0000, 0.5000).

For the distance to the lowest polymorph of the same formula, the calculation gives 0.0 meV per atom. As for the crystal system: tetragonal. The value obtained for the density of states at the Fermi level is 1.041 states/eV per atom. Its volume is 120.2 Å³/cell. As for the total magnetization: 0.0 μB per formula unit. The value obtained for the electronic total energy is -4.208 eV/atom.

# 7
AcPm2Be | PBE | optimized geometry

The structure belongs to space group R-3m (No. 166, hexagonal axes); the cell edges are 3.6676, 3.6676 and 35.3455 Å and the angles 90.00°, 90.00° and 120.00°. The distinct sites, in fractional coordinates, are Ac at (0.0000, 0.0000, 0.0000), Pm at (0.0000, 0.0000, 0.4177) and Be at (0.0000, 0.0000, 0.5000).

For the distance to the lowest polymorph of the same formula, the calculation gives 630.0 meV per atom. As for the crystal system: trigonal. The value obtained for the density of states at the Fermi level is 1.071 states/eV per atom. Its volume is 411.8 Å³/cell. As for the total magnetization: 0.0 μB per formula unit. The value obtained for the electronic total energy is -3.578 eV/atom.

# 8
AcPmBeSn | PBE | optimized geometry

The structure belongs to space group F-43m (No. 216); the cell edges are 7.6863, 7.6863 and 7.6863 Å and the angles 90.00°, 90.00° and 90.00°. The distinct sites, in fractional coordinates, are Ac at (0.0000, 0.0000, 0.0000), Pm at (0.0000, 0.0000, 0.5000), Be at (0.2500, 0.2500, 0.2500) and Sn at (0.2500, 0.2500, 0.7500).

As for the crystal system: cubic. The value obtained for the density of states at the Fermi level is 0.601 states/eV per atom. Its volume is 454.1 Å³/cell. As for the total magnetization: 0.0 μB per formula unit. The value obtained for the electronic total energy is -4.262 eV/atom.

# 9
AcPr2Be | PBE | optimized geometry

The structure belongs to space group P4/mmm (No. 123); the cell edges are 3.6775, 3.6775 and 9.2022 Å and the angles 90.00°, 90.00° and 90.00°. The distinct sites, in fractional coordinates, are Ac at (0.0000, 0.0000, 0.0000), Pr at (0.5000, 0.5000, 0.3196) and Be at (0.0000, 0.0000, 0.5000).

For the distance to the lowest polymorph of the same formula, the calculation gives 0.0 meV per atom. As for the crystal system: tetragonal. The value obtained for the density of states at the Fermi level is 1.061 states/eV per atom. Its volume is 124.5 Å³/cell. As for the total magnetization: 0.0 μB per formula unit. The value obtained for the electronic total energy is -4.212 eV/atom.

# 10
AcPr2Be | PBE | optimized geometry

The structure belongs to space group R-3m (No. 166, hexagonal axes); the cell edges are 3.6999, 3.6999 and 35.7902 Å and the angles 90.00°, 90.00° and 120.00°. The distinct sites, in fractional coordinates, are Ac at (0.0000, 0.0000, 0.0000), Pr at (0.0000, 0.0000, 0.4178) and Be at (0.0000, 0.0000, 0.5000).

For the distance to the lowest polymorph of the same formula, the calculation gives 608.7 meV per atom. As for the crystal system: trigonal. The value obtained for the density of states at the Fermi level is 1.135 states/eV per atom. Its volume is 424.3 Å³/cell. As for the total magnetization: 0.0 μB per formula unit. The value obtained for the electronic total energy is -3.603 eV/atom.

# 11
Ac2PrBe | PBE | optimized geometry

The structure belongs to space group R-3m (No. 166, hexagonal axes); the cell edges are 3.8048, 3.8048 and 36.7606 Å and the angles 90.00°, 90.00° and 120.00°. The distinct sites, in fractional coordinates, are Ac at (0.0000, 0.0000, 0.0836), Pr at (0.0000, 0.0000, 0.5000) and Be at (0.0000, 0.0000, 0.0000).

As for the crystal system: trigonal. The value obtained for the density of states at the Fermi level is 1.320 states/eV per atom. Its volume is 460.9 Å³/cell. As for the total magnetization: 0.0 μB per formula unit. The value obtained for the electronic total energy is -3.420 eV/atom.

# 12
Ac2PrBe2Pt7 | PBE | optimized geometry

The structure belongs to space group I4/mmm (No. 139); the cell edges are 4.2127, 4.2127 and 26.8460 Å and the angles 90.00°, 90.00° and 90.00°. The distinct sites, in fractional coordinates, are Ac at (0.0000, 0.0000, 0.1748), Pr at (0.0000, 0.0000, 0.0000), Be at (0.0000, 0.0000, 0.3812), Pt at (0.0000, 0.0000, 0.2953), Pt at (0.0000, 0.0000, 0.5000) and Pt at (0.0000, 0.5000, 0.0818).

As for the crystal system: tetragonal. The value obtained for the density of states at the Fermi level is 0.151 states/eV per atom. Its volume is 476.4 Å³/cell. As for the total magnetization: 0.0 μB per formula unit. The value obtained for the electronic total energy is -6.156 eV/atom.

# 13
AcBe3Pt | PBE | optimized geometry

The structure belongs to space group Pm-3m (No. 221); the cell edges are 4.4382, 4.4382 and 4.4382 Å and the angles 90.00°, 90.00° and 90.00°. The distinct sites, in fractional coordinates, are Ac at (0.0000, 0.0000, 0.0000), Be at (0.0000, 0.5000, 0.5000) and Pt at (0.5000, 0.5000, 0.5000).

As for the crystal system: cubic. The value obtained for the density of states at the Fermi level is 0.561 states/eV per atom. Its volume is 87.4 Å³/cell. As for the total magnetization: 0.0 μB per formula unit. The value obtained for the electronic total energy is -4.583 eV/atom.

# 14
Ac2Be7Pt12 | PBE | optimized geometry

The structure belongs to space group P-3 (No. 147); the cell edges are 9.7413, 9.7413 and 3.8756 Å and the angles 90.00°, 90.00° and 120.00°. The distinct sites, in fractional coordinates, are Ac at (0.3333, 0.6667, 0.2505), Be at (0.0000, 0.0000, 0.5000), Be at (0.0973, 0.7114, 0.7484), Pt at (0.0601, 0.4403, 0.7512) and Pt at (0.1151, 0.2544, 0.2508).

As for the crystal system: trigonal. The value obtained for the density of states at the Fermi level is 0.303 states/eV per atom. Its volume is 318.5 Å³/cell. As for the total magnetization: 0.0 μB per formula unit. The value obtained for the electronic total energy is -5.826 eV/atom.

# 15
AcBePt2 | PBE | optimized geometry

The structure belongs to space group C2/m (No. 12); the cell edges are 5.9435, 5.9435 and 9.3385 Å and the angles 90.00°, 90.02° and 90.00°. The distinct sites, in fractional coordinates, are Ac at (0.2496, 0.0000, 0.2041), Be at (0.2500, 0.0000, 0.6112), Pt at (0.0000, 0.2500, 0.5000) and Pt at (0.2505, 0.0000, 0.8551).

For the distance to the lowest polymorph of the same formula, the calculation gives 0.0 meV per atom. As for the crystal system: monoclinic. The value obtained for the density of states at the Fermi level is 0.411 states/eV per atom. Its volume is 329.9 Å³/cell. As for the total magnetization: 0.0 μB per formula unit. The value obtained for the electronic total energy is -5.896 eV/atom.

# 16
AcBe3Pt3 | PBE | optimized geometry

The structure belongs to space group Pm-3n (No. 223); the cell edges are 6.2836, 6.2836 and 6.2836 Å and the angles 90.00°, 90.00° and 90.00°. The distinct sites, in fractional coordinates, are Ac at (0.0000, 0.0000, 0.0000), Be at (0.0000, 0.2500, 0.5000) and Pt at (0.0000, 0.5000, 0.2500).

As for the crystal system: cubic. The value obtained for the density of states at the Fermi level is 0.256 states/eV per atom. Its volume is 248.1 Å³/cell. As for the total magnetization: 0.0 μB per formula unit. The value obtained for the electronic total energy is -5.413 eV/atom.

# 17
AcBePt2 | PBE | optimized geometry

The structure belongs to space group R-3m (No. 166, hexagonal axes); the cell edges are 4.1607, 4.1607 and 16.3850 Å and the angles 90.00°, 90.00° and 120.00°. The distinct sites, in fractional coordinates, are Ac at (0.0000, 0.0000, 0.0000), Be at (0.0000, 0.0000, 0.5000) and Pt at (0.0000, 0.0000, 0.2079).

For the distance to the lowest polymorph of the same formula, the calculation gives 48.8 meV per atom. As for the crystal system: trigonal. The value obtained for the density of states at the Fermi level is 0.322 states/eV per atom. Its volume is 245.7 Å³/cell. As for the total magnetization: 0.0 μB per formula unit. The value obtained for the electronic total energy is -5.847 eV/atom.

# 18
Ac2BePt3 | PBE | optimized geometry

The structure belongs to space group Fmmm (No. 69); the cell edges are 8.4305, 8.7775 and 15.2079 Å and the angles 90.00°, 90.00° and 90.00°. The distinct sites, in fractional coordinates, are Ac at (0.2485, 0.0000, 0.0000), Ac at (0.2500, 0.2500, 0.2500), Be at (0.0000, 0.0000, 0.3320), Pt at (0.0000, 0.0000, 0.1831) and Pt at (0.0000, 0.2193, 0.4078).

As for the crystal system: orthorhombic. The value obtained for the density of states at the Fermi level is 0.467 states/eV per atom. Its volume is 1125.4 Å³/cell. As for the total magnetization: 0.0 μB per formula unit. The value obtained for the electronic total energy is -5.996 eV/atom.

# 19
Ac2BePt6 | PBE | optimized geometry

The structure belongs to space group C2/m (No. 12); the cell edges are 10.3126, 5.9426 and 6.6564 Å and the angles 90.00°, 121.58° and 90.00°. The distinct sites, in fractional coordinates, are Ac at (0.2294, 0.0000, 0.1906), Be at (0.0000, 0.5000, 0.0000), Pt at (0.0169, 0.2536, 0.2989) and Pt at (0.2357, 0.0000, 0.7018).

As for the crystal system: monoclinic. The value obtained for the density of states at the Fermi level is 0.290 states/eV per atom. Its volume is 347.5 Å³/cell. As for the total magnetization: 0.0 μB per formula unit. The value obtained for the electronic total energy is -6.232 eV/atom.

# 20
Ac2ScBePt6 | PBE | optimized geometry

The structure belongs to space group C2/m (No. 12); the cell edges are 10.5060, 6.0312 and 7.4894 Å and the angles 90.00°, 118.21° and 90.00°. The distinct sites, in fractional coordinates, are Ac at (0.2296, 0.0000, 0.1894), Sc at (0.0000, 0.5000, 0.0000), Be at (0.0000, 0.0000, 0.5000), Pt at (0.0257, 0.2635, 0.3141) and Pt at (0.2382, 0.0000, 0.6828).

As for the crystal system: monoclinic. The value obtained for the density of states at the Fermi level is 0.207 states/eV per atom. Its volume is 418.2 Å³/cell. As for the total magnetization: 0.0 μB per formula unit. The value obtained for the electronic total energy is -6.337 eV/atom.